No. 1
DFT (PBE) results for a geometry-optimized Ba2CdSb4Pt3 structure.

Cell: 4.833 4.833 11.063 Å, 90.00 90.00 90.00°
Space group P-4m2 (No. 115)
Symmetry-distinct sites (fractional):
Ba 0.000 0.500 0.247
Cd 0.000 0.000 0.500
Sb 0.000 0.000 0.000
Sb 0.000 0.500 0.640
Sb 0.500 0.500 0.000
Pt 0.000 0.500 0.884
Pt 0.500 0.500 0.500

Results
E   -46.8 eV for the cell shown
Formation energy from raw total energies   -718.9 kJ/mol of formula units
V   25.8 Å³ per atom

---

No. 2
DFT (PBE) results for a geometry-optimized BaCd2SbPt structure.

Cell: 5.249 5.249 5.423 Å, 90.00 90.00 90.00°
Space group P4/mmm (No. 123)
Symmetry-distinct sites (fractional):
Ba 0.000 0.000 0.000
Cd 0.000 0.500 0.500
Sb 0.500 0.500 0.000
Pt 0.500 0.500 0.500

Results
E   -16.0 eV for the cell shown
Formation energy from raw total energies   -201.5 kJ/mol of formula units
V   29.9 Å³ per atom

---

No. 3
DFT (PBE) results for a geometry-optimized Ba2CdSb3Pt4 structure.

Cell: 4.801 4.801 10.688 Å, 90.00 90.00 90.00°
Space group P-4m2 (No. 115)
Symmetry-distinct sites (fractional):
Ba 0.000 0.500 0.246
Cd 0.000 0.000 0.500
Sb 0.000 0.500 0.878
Sb 0.500 0.500 0.500
Pt 0.000 0.000 0.000
Pt 0.000 0.500 0.626
Pt 0.500 0.500 0.000

Results
E   -49.0 eV for the cell shown
Formation energy from raw total energies   -744.3 kJ/mol of formula units
V   24.6 Å³ per atom

---

No. 4
DFT (PBE) results for a geometry-optimized Ba2CdSi3Pt12 structure.

Cell: 8.4103 8.4103 18.7190 Å, 90.00 90.00 120.00°
Space group R-3m (No. 166, hexagonal axes)
Symmetry-distinct sites (fractional):
Ba 0.0000 0.0000 0.1084
Cd 0.0000 0.0000 0.5000
Si 0.0000 0.5000 0.0000
Pt 0.0082 0.5041 0.8764
Pt 0.0425 0.5213 0.3663

Results
E   -298.0 eV for the cell shown
Formation energy from raw total energies   -562.1 kJ/mol of formula units
V   21.2 Å³ per atom